Record 1
# PrTcAsO, relaxed, DFT GGA-PBE
data_PrTcAsO
_chemical_formula_sum 'Pr2 Tc2 As2 O2'
_cell_length_a 4.265
_cell_length_b 4.312
_cell_length_c 7.481
_cell_angle_alpha 90.00
_cell_angle_beta 90.00
_cell_angle_gamma 90.00
_space_group_name_H-M_alt 'P m c 21'
_space_group_IT_number 26
loop_
_space_group_symop_operation_xyz
'x,y,z'
'-x,-y,z+1/2'
'-x,y,z'
'x,-y,z+1/2'
loop_
_atom_site_label
_atom_site_type_symbol
_atom_site_fract_x
_atom_site_fract_y
_atom_site_fract_z
_atom_site_occupancy
Pr1 Pr 0.000 0.247 0.000 1
Tc1 Tc 0.500 0.256 0.333 1
As1 As 0.500 0.245 0.665 1
O1 O 0.000 0.255 0.333 1
# Excess energy over the best structure of this formula in the dataset ... 39.2 kJ per mole of atoms
# Volume ... 137.5 Å³ per cell
# Theoretical density ... 7.96 g/cm³

***

Record 2
# GaIrPd, relaxed, DFT GGA-PBE
data_GaIrPd
_chemical_formula_sum 'Ga4 Ir4 Pd4'
_cell_length_a 5.985
_cell_length_b 5.985
_cell_length_c 5.985
_cell_angle_alpha 90.00
_cell_angle_beta 90.00
_cell_angle_gamma 90.00
_space_group_name_H-M_alt 'F -4 3 m'
_space_group_IT_number 216
_space_group_name_Hall 'F -4 2 3'
loop_
_atom_site_label
_atom_site_type_symbol
_atom_site_fract_x
_atom_site_fract_y
_atom_site_fract_z
_atom_site_occupancy
Ga1 Ga 0.000 0.000 0.000 1
Ir1 Ir 0.250 0.250 0.250 1
Pd1 Pd 0.000 0.000 0.500 1
# Excess energy over the best structure of this formula in the dataset ... 0.0 kJ per mole of atoms
# Volume ... 214.4 Å³ per cell
# Theoretical density ... 11.41 g/cm³

***

Record 3
# Lu4ZnPbC2, relaxed, DFT GGA-PBE
data_Lu4ZnPbC2
_chemical_formula_sum 'Lu4 Zn1 Pb1 C2'
_cell_length_a 3.5253
_cell_length_b 3.5253
_cell_length_c 15.2575
_cell_angle_alpha 90.00
_cell_angle_beta 90.00
_cell_angle_gamma 120.00
_space_group_name_H-M_alt 'P -6 m 2'
_space_group_IT_number 187
_space_group_name_Hall 'P -6 2'
loop_
_atom_site_label
_atom_site_type_symbol
_atom_site_fract_x
_atom_site_fract_y
_atom_site_fract_z
_atom_site_occupancy
Lu1 Lu 0.0000 0.0000 0.1569 1
Lu2 Lu 0.3333 0.6667 0.3265 1
Zn1 Zn 0.3333 0.6667 0.0000 1
Pb1 Pb 0.0000 0.0000 0.5000 1
C1 C 0.6667 0.3333 0.2433 1
# Total DFT energy (no corrections) ... -44.89 eV for the cell shown
# Volume ... 164.2 Å³ per cell
# Theoretical density ... 10.08 g/cm³

***

Record 4
# B4W7C4, relaxed, DFT GGA-PBE
data_B4W7C4
_chemical_formula_sum 'B8 W14 C8'
_cell_length_a 3.082
_cell_length_b 3.131
_cell_length_c 31.754
_cell_angle_alpha 90.00
_cell_angle_beta 90.00
_cell_angle_gamma 90.00
_space_group_name_H-M_alt 'I m m m'
_space_group_IT_number 71
_space_group_name_Hall '-I 2 2'
loop_
_atom_site_label
_atom_site_type_symbol
_atom_site_fract_x
_atom_site_fract_y
_atom_site_fract_z
_atom_site_occupancy
B1 B 0.000 0.000 0.029 1
B2 B 0.000 0.500 0.442 1
W1 W 0.000 0.000 0.500 1
W2 W 0.000 0.500 0.082 1
W3 W 0.000 0.500 0.219 1
W4 W 0.000 0.500 0.356 1
C1 C 0.000 0.500 0.148 1
C2 C 0.000 0.500 0.288 1
# Total DFT energy (no corrections) ... -308.35 eV for the cell shown
# Volume ... 306.4 Å³ per cell
# Theoretical density ... 14.94 g/cm³

***

Record 5
# PrAlGa2, relaxed, DFT GGA-PBE
data_PrAlGa2
_chemical_formula_sum 'Pr4 Al4 Ga8'
_cell_length_a 4.534
_cell_length_b 6.544
_cell_length_c 11.406
_cell_angle_alpha 90.00
_cell_angle_beta 90.00
_cell_angle_gamma 90.00
_space_group_name_H-M_alt 'A m m 2'
_space_group_IT_number 38
loop_
_space_group_symop_operation_xyz
'x,y,z'
'-x,-y,z'
'-x,y,z'
'x,-y,z'
'x,y+1/2,z+1/2'
'-x,-y+1/2,z+1/2'
'-x,y+1/2,z+1/2'
'x,-y+1/2,z+1/2'
loop_
_atom_site_label
_atom_site_type_symbol
_atom_site_fract_x
_atom_site_fract_y
_atom_site_fract_z
_atom_site_occupancy
Pr1 Pr 0.000 0.000 0.000 1
Pr2 Pr 0.500 0.000 0.337 1
Al1 Al 0.500 0.209 0.601 1
Ga1 Ga 0.000 0.000 0.527 1
Ga2 Ga 0.000 0.214 0.737 1
Ga3 Ga 0.500 0.000 0.811 1
# Total DFT energy (no corrections) ... -66.94 eV for the cell shown
# Volume ... 338.5 Å³ per cell
# Theoretical density ... 6.03 g/cm³

***

Record 6
# LaErO3, relaxed, DFT GGA-PBE
data_LaErO3
_chemical_formula_sum 'La1 Er1 O3'
_cell_length_a 4.088
_cell_length_b 4.088
_cell_length_c 4.809
_cell_angle_alpha 90.00
_cell_angle_beta 90.00
_cell_angle_gamma 90.00
_space_group_name_H-M_alt 'P 4 m m'
_space_group_IT_number 99
loop_
_space_group_symop_operation_xyz
'x,y,z'
'-y,x,z'
'-x,-y,z'
'y,-x,z'
'-x,y,z'
'y,x,z'
'x,-y,z'
'-y,-x,z'
loop_
_atom_site_label
_atom_site_type_symbol
_atom_site_fract_x
_atom_site_fract_y
_atom_site_fract_z
_atom_site_occupancy
La1 La 0.000 0.000 0.000 1
Er1 Er 0.500 0.500 0.589 1
O1 O 0.000 0.500 0.730 1
O2 O 0.500 0.500 0.152 1
# Total DFT energy (no corrections) ... -41.02 eV for the cell shown
# Volume ... 80.4 Å³ per cell
# Theoretical density ... 7.32 g/cm³

***

Record 7
# HfScAs2, relaxed, DFT GGA-PBE
data_HfScAs2
_chemical_formula_sum 'Hf4 Sc4 As8'
_cell_length_a 6.725
_cell_length_b 6.725
_cell_length_c 6.725
_cell_angle_alpha 90.00
_cell_angle_beta 90.00
_cell_angle_gamma 90.00
_space_group_name_H-M_alt 'F -4 3 m'
_space_group_IT_number 216
_space_group_name_Hall 'F -4 2 3'
loop_
_atom_site_label
_atom_site_type_symbol
_atom_site_fract_x
_atom_site_fract_y
_atom_site_fract_z
_atom_site_occupancy
Hf1 Hf 0.000 0.000 0.000 1
Sc1 Sc 0.250 0.250 0.750 1
As1 As 0.000 0.000 0.500 1
As2 As 0.250 0.250 0.250 1
# Total DFT energy (no corrections) ... -103.91 eV for the cell shown
# Volume ... 304.1 Å³ per cell
# Theoretical density ... 8.15 g/cm³

***

Record 8
# TmC8, relaxed, DFT GGA-PBE
data_TmC8
_chemical_formula_sum 'Tm1 C8'
_cell_length_a 5.0109
_cell_length_b 5.0109
_cell_length_c 4.1834
_cell_angle_alpha 90.00
_cell_angle_beta 90.00
_cell_angle_gamma 120.00
_space_group_name_H-M_alt 'P 6/m m m'
_space_group_IT_number 191
_space_group_name_Hall '-P 6 2'
loop_
_atom_site_label
_atom_site_type_symbol
_atom_site_fract_x
_atom_site_fract_y
_atom_site_fract_z
_atom_site_occupancy
Tm1 Tm 0.0000 0.0000 0.0000 1
C1 C 0.1681 0.3363 0.5000 1
C2 C 0.3333 0.6667 0.5000 1
# Total DFT energy (no corrections) ... -77.78 eV for the cell shown
# Volume ... 91.0 Å³ per cell
# Theoretical density ... 4.84 g/cm³